Computed, not measured: a geometry-optimized Pm8Nd3Y4 structure at the PBE-GGA level of DFT.

```
data_Pm8Nd3Y4
_chemical_formula_sum 'Pm16 Nd6 Y8'
_cell_length_a 13.987
_cell_length_b 12.250
_cell_length_c 6.950
_cell_angle_alpha 90.00
_cell_angle_beta 119.00
_cell_angle_gamma 90.00
_symmetry_space_group_name_H-M 'C 1 2/m 1'
_symmetry_Int_Tables_number 12
loop_
_symmetry_equiv_pos_as_xyz
'x,y,z'
'-x,-y,-z'
'-x,y,-z'
'x,-y,z'
'x+1/2,y+1/2,z'
'-x+1/2,-y+1/2,-z'
'-x+1/2,y+1/2,-z'
'x+1/2,-y+1/2,z'
loop_
_atom_site_label
_atom_site_type_symbol
_atom_site_fract_x
_atom_site_fract_y
_atom_site_fract_z
Pm1 Pm 0.000 0.205 0.000
Pm2 Pm 0.000 0.251 0.500
Pm3 Pm 0.203 0.000 0.192
Pm4 Pm 0.248 0.500 0.265
Nd1 Nd 0.000 0.000 0.500
Nd2 Nd 0.250 0.250 0.500
Y1 Y 0.000 0.500 0.000
Y2 Y 0.000 0.500 0.500
Y3 Y 0.250 0.250 0.000
```

Values from the calculation:
energy of formation from the pure elements	328	meV/atom
total magnetic moment	0.00	μB per formula unit
DFT total energy	-4.88	eV/atom